Compound: MgTlCoCu
Source: OQMD
Functional: PBE
Structure: relaxed

## Properties
relative energy among the computed polymorphs = 0.0 meV per atom

Unit cell a=6.319 b=6.319 c=6.319 alpha=90.00 beta=90.00 gamma=90.00
Space group F-43m (No. 216)
One atom of each set of equivalent atoms:
1 Mg 0.000 0.000 0.000 x4
2 Tl 0.000 0.000 0.500 x4
3 Co 0.250 0.250 0.750 x4
4 Cu 0.250 0.250 0.250 x4

Compound: MgZn2CoCu4
Source: OQMD
Functional: PBE
Structure: relaxed

## Properties
electronic total energy = -26.03 eV per cell

Unit cell a=4.092 b=4.092 c=6.089 alpha=90.00 beta=90.00 gamma=90.00
Space group P4/mmm (No. 123)
One atom of each set of equivalent atoms:
1 Mg 0.000 0.000 0.000 x1
2 Zn 0.000 0.000 0.500 x1
3 Zn 0.500 0.500 0.000 x1
4 Co 0.500 0.500 0.500 x1
5 Cu 0.000 0.500 0.265 x4

Compound: MgZnCoCu
Source: OQMD
Functional: PBE
Structure: relaxed

## Properties
relative energy among the computed polymorphs = 0.0 meV per atom

Unit cell a=5.932 b=5.932 c=5.932 alpha=90.00 beta=90.00 gamma=90.00
Space group F-43m (No. 216)
One atom of each set of equivalent atoms:
1 Mg 0.000 0.000 0.000 x4
2 Zn 0.000 0.000 0.500 x4
3 Co 0.250 0.250 0.250 x4
4 Cu 0.250 0.250 0.750 x4

Compound: SrCoCuMo
Source: OQMD
Functional: PBE
Structure: relaxed

## Properties
relative energy among the computed polymorphs = 0.0 meV per atom

Unit cell a=6.538 b=6.538 c=6.538 alpha=90.00 beta=90.00 gamma=90.00
Space group F-43m (No. 216)
One atom of each set of equivalent atoms:
1 Sr 0.000 0.000 0.000 x4
2 Co 0.250 0.250 0.250 x4
3 Cu 0.250 0.250 0.750 x4
4 Mo 0.000 0.000 0.500 x4

no.,magnetic moment (μB/cell)
1,3.10
2,0.04
3,0.01
4,11.58